The following is a DFT calculation (GGA-PBEsol) of a relaxed YTa2Ni crystal.

a b c (Å): 3.0890 3.0890 26.7564
angles (deg): 90.00 90.00 120.00
With the nearest neighbours (Å) after each atom.
Space group R3m (No. 160, hexagonal axes)
Unique sites:
Y1 0.0000 0.0000 0.0000 [3 per cell]  3 Ni 2.89, 6 Y 3.09, 3 Ta 3.17
Ta1 0.0000 0.0000 0.5150 [3 per cell]  3 Ni 2.52
Ta2 0.0000 0.0000 0.7645 [3 per cell]  9 Ta 2.87-3.09, 3 Y 3.17
Ni1 0.0000 0.0000 0.2483 [3 per cell]  3 Ta 2.52

Summary:
**Volume**: 18.425 A^3/atom
**Density**: 11.48 Mg/m³
**E_form**: 0.2893 eV per atom
**Total moment**: 0.0 μB/cell

***

The following is a DFT calculation (GGA-PBEsol) of a relaxed YTaNi2 crystal.

a b c (Å): 4.1969 4.1969 13.8752
angles (deg): 90.00 90.00 120.00
With the nearest neighbours (Å) after each atom.
Space group R-3m (No. 166, hexagonal axes)
Unique sites:
Y1 0.0000 0.0000 0.0000 [3 per cell]  8 Ni 2.80-3.03
Ta1 0.0000 0.0000 0.5000 [3 per cell]  6 Ni 2.47
Ni1 0.0000 0.0000 0.2020 [6 per cell]  3 Ta 2.47, 3 Ni 2.61

Summary:
**Volume**: 17.638 A^3/atom
**Density**: 9.11 Mg/m³
**E_form**: -0.2343 eV per atom
**Total moment**: 0.0 μB/cell

***

The following is a DFT calculation (GGA-PBEsol) of a relaxed YTaNi2 crystal.

a b c (Å): 3.1321 3.1321 6.6419
angles (deg): 90.00 90.00 90.00
With the nearest neighbours (Å) after each atom.
Space group P4/mmm (No. 123)
Unique sites:
Y1 0.0000 0.0000 0.0000 [1 per cell]  8 Ni 3.00, 4 Y 3.13, 2 Ta 3.32
Ta1 0.0000 0.0000 0.5000 [1 per cell]  8 Ni 2.57
Ni1 0.5000 0.5000 0.3042 [2 per cell]  4 Ta 2.57, 1 Ni 2.60

Summary:
**Volume**: 16.289 A^3/atom
**Density**: 9.87 Mg/m³
**E_form**: -0.2376 eV per atom
**Total moment**: 0.0 μB/cell

***

Q: Which value of total moment does entry 3 give?
A: 0.0 μB/cell